# 1
Ho4Sn2Ir | PBE | relaxed

## Properties
- Crystal system: monoclinic
- Symmetry: C2/m, No. 12

Geometry as POSCAR:
```
Ho4Sn2Ir
1.0
4.584 0.000 0.000
0.000 8.579 -1.095
-2.292 -4.902 5.382
Ho Sn Ir
4 2 1
direct
0.930 0.216 0.859
0.070 0.784 0.141
0.669 0.278 0.338
0.331 0.722 0.662
0.654 0.641 0.307
0.346 0.359 0.693
0.000 0.000 0.000
```



# 2
Ho6Sn2Ir | PBE | relaxed

## Properties
- Crystal system: orthorhombic
- Symmetry: Immm, No. 71

Geometry as POSCAR:
```
Ho6Sn2Ir
1.0
5.076 0.000 -0.195
0.000 7.112 0.000
-2.250 -3.556 7.556
Ho Sn Ir
6 2 1
direct
0.152 0.391 0.303
0.848 0.088 0.697
0.848 0.609 0.697
0.500 0.227 0.000
0.152 0.912 0.303
0.500 0.773 0.000
0.672 0.672 0.345
0.328 0.328 0.655
0.000 0.000 0.000
```



Number 1: V 187.0 Å³/cell, magnetization 0.00 μB per formula unit, ΔH_f (0 K) -0.716 eV per atom. Number 2: V 269.7 Å³/cell, magnetization 0.00 μB per formula unit, ΔH_f (0 K) -0.497 eV per atom.